Compound: ScCoMo2
Source: Alexandria
Functional: GGA-PBE
Structure: optimized geometry

Its density of states at the Fermi level is 0.887 states/eV per atom. The formation energy is 0.05 eV per atom. Its crystal system is orthorhombic. As for the space group: Pmmm.

Cell: 3.1843 4.2166 4.6381 Å, 90.00 90.00 90.00°
Last column: nearest neighbours and their distance in Å.
Element x y z (fractional)
1 Mo 0.0000 0.0000 0.0000  4 Mo 2.64, 4 Sc 2.81
2 Mo 0.5000 0.5000 0.0000  4 Mo 2.64, 4 Co 2.81
3 Sc 0.5000 0.0000 0.5000  4 Co 2.64, 4 Mo 2.81
4 Co 0.0000 0.5000 0.5000  4 Sc 2.64, 4 Mo 2.81